#a
Material: La7Pm2Dy
Method: DFT, PBE
State: optimized geometry

## Properties
N(E_F), states/eV per atom: 1.77
SG: No. 65

CIF file:
```
data_La7Pm2Dy
_chemical_formula_sum 'La7 Pm2 Dy1'
_cell_length_a 5.633
_cell_length_b 9.328
_cell_length_c 9.329
_cell_angle_alpha 122.27
_cell_angle_beta 90.00
_cell_angle_gamma 90.00
_symmetry_space_group_name_H-M 'P 1'
_symmetry_Int_Tables_number 1
loop_
_symmetry_equiv_pos_as_xyz
'x,y,z'
loop_
_atom_site_label
_atom_site_type_symbol
_atom_site_fract_x
_atom_site_fract_y
_atom_site_fract_z
La1 La 0.500 0.300 0.073
La2 La 0.000 0.240 0.760
La3 La 0.500 0.500 0.500
Pm1 Pm 0.500 0.701 0.299
La4 La 0.500 0.073 0.300
La5 La 0.500 0.700 0.927
La6 La 0.500 0.927 0.700
Pm2 Pm 0.500 0.299 0.701
La7 La 0.000 0.760 0.240
Dy1 Dy 0.000 0.000 0.000
```

=====

#b
Material: La7Pm2Dy
Method: DFT, PBE
State: optimized geometry

## Properties
N(E_F), states/eV per atom: 1.60
SG: No. 65

CIF file:
```
data_La7Pm2Dy
_chemical_formula_sum 'La7 Pm2 Dy1'
_cell_length_a 3.574
_cell_length_b 10.526
_cell_length_c 10.526
_cell_angle_alpha 109.26
_cell_angle_beta 90.00
_cell_angle_gamma 90.00
_symmetry_space_group_name_H-M 'P 1'
_symmetry_Int_Tables_number 1
loop_
_symmetry_equiv_pos_as_xyz
'x,y,z'
loop_
_atom_site_label
_atom_site_type_symbol
_atom_site_fract_x
_atom_site_fract_y
_atom_site_fract_z
Pm1 Pm 0.500 0.833 0.167
La1 La 0.000 0.681 0.319
Dy1 Dy 0.000 0.000 0.000
La2 La 0.500 0.126 0.382
La3 La 0.500 0.382 0.126
Pm2 Pm 0.500 0.167 0.833
La4 La 0.500 0.618 0.874
La5 La 0.500 0.874 0.618
La6 La 0.500 0.500 0.500
La7 La 0.000 0.319 0.681
```

=====

Which is most stable, and by how much? #b, by 0.248 eV/atom.

=====

#a
Material: La2Pm2Dy3
Method: DFT, PBE
State: optimized geometry

## Properties
N(E_F), states/eV per atom: 1.52
SG: No. 14

CIF file:
```
data_La2Pm2Dy3
_chemical_formula_sum 'La4 Pm4 Dy6'
_cell_length_a 6.408
_cell_length_b 6.213
_cell_length_c 13.084
_cell_angle_alpha 90.00
_cell_angle_beta 90.00
_cell_angle_gamma 112.06
_symmetry_space_group_name_H-M 'P 1'
_symmetry_Int_Tables_number 1
loop_
_symmetry_equiv_pos_as_xyz
'x,y,z'
loop_
_atom_site_label
_atom_site_type_symbol
_atom_site_fract_x
_atom_site_fract_y
_atom_site_fract_z
Dy1 Dy 0.500 0.000 0.000
La1 La 0.128 0.408 0.679
Pm1 Pm 0.368 0.102 0.291
Dy2 Dy 0.619 0.333 0.551
Pm2 Pm 0.632 0.898 0.709
Dy3 Dy 0.381 0.667 0.449
Dy4 Dy 0.119 0.333 0.949
Dy5 Dy 0.000 0.000 0.500
La2 La 0.872 0.592 0.321
Pm3 Pm 0.868 0.102 0.209
La3 La 0.372 0.592 0.179
Dy6 Dy 0.881 0.667 0.051
La4 La 0.628 0.408 0.821
Pm4 Pm 0.132 0.898 0.791
```

=====

#b
Material: La2Pm2Dy3
Method: DFT, PBE
State: optimized geometry

## Properties
N(E_F), states/eV per atom: 1.75
SG: No. 12

CIF file:
```
data_La2Pm2Dy3
_chemical_formula_sum 'La2 Pm2 Dy3'
_cell_length_a 3.521
_cell_length_b 8.868
_cell_length_c 8.765
_cell_angle_alpha 116.15
_cell_angle_beta 101.59
_cell_angle_gamma 90.00
_symmetry_space_group_name_H-M 'P 1'
_symmetry_Int_Tables_number 1
loop_
_symmetry_equiv_pos_as_xyz
'x,y,z'
loop_
_atom_site_label
_atom_site_type_symbol
_atom_site_fract_x
_atom_site_fract_y
_atom_site_fract_z
La1 La 0.081 0.207 0.161
Dy1 Dy 0.780 0.356 0.561
Dy2 Dy 0.000 0.500 0.000
Pm1 Pm 0.360 0.094 0.719
Dy3 Dy 0.220 0.644 0.439
Pm2 Pm 0.640 0.906 0.281
La2 La 0.919 0.793 0.839
```

=====

Which is most stable, and by how much? #b, by 0.047 eV/atom.

=====

#a
Material: La2Pm5Dy4
Method: DFT, PBE
State: optimized geometry

## Properties
N(E_F), states/eV per atom: 1.46
SG: No. 71

CIF file:
```
data_La2Pm5Dy4
_chemical_formula_sum 'La2 Pm5 Dy4'
_cell_length_a 3.543
_cell_length_b 9.225
_cell_length_c 12.835
_cell_angle_alpha 111.06
_cell_angle_beta 97.93
_cell_angle_gamma 90.00
_symmetry_space_group_name_H-M 'P 1'
_symmetry_Int_Tables_number 1
loop_
_symmetry_equiv_pos_as_xyz
'x,y,z'
loop_
_atom_site_label
_atom_site_type_symbol
_atom_site_fract_x
_atom_site_fract_y
_atom_site_fract_z
Dy1 Dy 0.403 0.403 0.805
Pm1 Pm 0.859 0.053 0.718
Pm2 Pm 0.500 0.000 0.000
Pm3 Pm 0.859 0.665 0.718
Dy2 Dy 0.000 0.314 0.000
La1 La 0.267 0.267 0.533
Dy3 Dy 0.597 0.597 0.195
Dy4 Dy 0.000 0.686 0.000
Pm4 Pm 0.141 0.947 0.282
Pm5 Pm 0.141 0.335 0.282
La2 La 0.733 0.733 0.467
```

=====

#b
Material: La2Pm5Dy4
Method: DFT, PBE
State: optimized geometry

## Properties
N(E_F), states/eV per atom: 1.43
SG: No. 12

CIF file:
```
data_La2Pm5Dy4
_chemical_formula_sum 'La2 Pm5 Dy4'
_cell_length_a 3.567
_cell_length_b 11.789
_cell_length_c 9.125
_cell_angle_alpha 94.06
_cell_angle_beta 101.27
_cell_angle_gamma 90.00
_symmetry_space_group_name_H-M 'P 1'
_symmetry_Int_Tables_number 1
loop_
_symmetry_equiv_pos_as_xyz
'x,y,z'
loop_
_atom_site_label
_atom_site_type_symbol
_atom_site_fract_x
_atom_site_fract_y
_atom_site_fract_z
Dy1 Dy 0.361 0.201 0.721
La1 La 0.718 0.355 0.436
Pm1 Pm 0.500 0.000 0.000
Dy2 Dy 0.031 0.257 0.063
Dy3 Dy 0.639 0.799 0.279
Pm2 Pm 0.824 0.932 0.648
Pm3 Pm 0.094 0.537 0.189
Pm4 Pm 0.176 0.068 0.352
La2 La 0.282 0.645 0.564
Dy4 Dy 0.969 0.743 0.937
Pm5 Pm 0.906 0.463 0.811
```

=====

Which is most stable, and by how much? #b, by 0.107 eV/atom.

=====

#a
Material: LaPm7Dy12
Method: DFT, PBE
State: optimized geometry

## Properties
N(E_F), states/eV per atom: 1.83
SG: No. 148

CIF file:
```
data_LaPm7Dy12
_chemical_formula_sum 'La1 Pm7 Dy12'
_cell_length_a 8.766
_cell_length_b 8.766
_cell_length_c 8.766
_cell_angle_alpha 88.94
_cell_angle_beta 88.94
_cell_angle_gamma 88.94
_symmetry_space_group_name_H-M 'P 1'
_symmetry_Int_Tables_number 1
loop_
_symmetry_equiv_pos_as_xyz
'x,y,z'
loop_
_atom_site_label
_atom_site_type_symbol
_atom_site_fract_x
_atom_site_fract_y
_atom_site_fract_z
Dy1 Dy 0.761 0.223 0.632
Dy2 Dy 0.655 0.557 0.885
Pm1 Pm 0.001 0.639 0.122
Dy3 Dy 0.557 0.885 0.655
Dy4 Dy 0.443 0.115 0.345
Dy5 Dy 0.632 0.761 0.223
Dy6 Dy 0.368 0.239 0.777
Dy7 Dy 0.239 0.777 0.368
Pm2 Pm 0.500 0.500 0.500
Pm3 Pm 0.122 0.001 0.639
Pm4 Pm 0.878 0.999 0.361
Pm5 Pm 0.639 0.122 0.001
Dy8 Dy 0.345 0.443 0.115
Dy9 Dy 0.223 0.632 0.761
Dy10 Dy 0.885 0.655 0.557
Dy11 Dy 0.777 0.368 0.239
La1 La 0.000 0.000 0.000
Dy12 Dy 0.115 0.345 0.443
Pm6 Pm 0.999 0.361 0.878
Pm7 Pm 0.361 0.878 0.999
```

=====

#b
Material: LaPm7Dy12
Method: DFT, PBE
State: optimized geometry

## Properties
N(E_F), states/eV per atom: 1.40
SG: No. 229

CIF file:
```
data_LaPm7Dy12
_chemical_formula_sum 'La1 Pm7 Dy12'
_cell_length_a 9.825
_cell_length_b 9.825
_cell_length_c 9.825
_cell_angle_alpha 109.47
_cell_angle_beta 109.47
_cell_angle_gamma 109.47
_symmetry_space_group_name_H-M 'P 1'
_symmetry_Int_Tables_number 1
loop_
_symmetry_equiv_pos_as_xyz
'x,y,z'
loop_
_atom_site_label
_atom_site_type_symbol
_atom_site_fract_x
_atom_site_fract_y
_atom_site_fract_z
Dy1 Dy 0.494 0.747 0.747
Dy2 Dy 0.000 0.253 0.747
Dy3 Dy 0.253 0.253 0.506
Dy4 Dy 0.506 0.253 0.253
Dy5 Dy 0.747 0.253 0.000
Pm1 Pm 0.000 0.500 0.000
La1 La 0.000 0.000 0.000
Pm2 Pm 0.000 0.500 0.500
Pm3 Pm 0.500 0.500 0.000
Pm4 Pm 0.500 0.500 0.500
Pm5 Pm 0.500 0.000 0.500
Dy6 Dy 0.253 0.747 0.000
Dy7 Dy 0.253 0.506 0.253
Pm6 Pm 0.000 0.000 0.500
Dy8 Dy 0.747 0.000 0.253
Dy9 Dy 0.747 0.747 0.494
Dy10 Dy 0.253 0.000 0.747
Pm7 Pm 0.500 0.000 0.000
Dy11 Dy 0.000 0.747 0.253
Dy12 Dy 0.747 0.494 0.747
```

=====

Which is most stable, and by how much? #a, by 0.398 eV/atom.